[1]
## PmInPtRh (PBE-GGA)

Data for a geometry-optimized PmInPtRh structure.

```
PmInPtRh
1.0
6.8328 0.0000 0.0000
0.0000 6.8328 0.0000
0.0000 0.0000 6.8328
Pm In Pt Rh
4 4 4 4
Direct
0.0000 0.0000 0.0000
0.0000 0.5000 0.5000
0.5000 0.0000 0.5000
0.5000 0.5000 0.0000
0.0000 0.0000 0.5000
0.0000 0.5000 0.0000
0.5000 0.0000 0.0000
0.5000 0.5000 0.5000
0.2500 0.2500 0.7500
0.2500 0.7500 0.2500
0.7500 0.2500 0.2500
0.7500 0.7500 0.7500
0.2500 0.2500 0.2500
0.2500 0.7500 0.7500
0.7500 0.2500 0.7500
0.7500 0.7500 0.2500
```

## Properties
**Space group**: F-43m
**DOS at the Fermi energy**: 3.2 states/eV/f.u.
**Volume**: 79.7 Å³/f.u.
**Calculated formation energy**: -0.70 eV per atom
**ρ**: 11.6 g cm⁻³

=====

[2]
## La3AuO (PBE-GGA)

Data for a geometry-optimized La3AuO structure.

```
La3AuO
1.0
6.7786 0.0000 0.0000
2.8865 6.4222 0.0000
1.1215 3.2897 6.2959
La Au O
6 2 2
Direct
0.0000 0.0000 0.0000
0.0109 0.8611 0.5698
0.1109 0.3987 0.1568
0.4624 0.2392 0.6775
0.5551 0.7858 0.2464
0.5850 0.6355 0.8317
0.6111 0.2218 0.2547
0.9635 0.4324 0.5788
0.1929 0.0072 0.2465
0.7994 0.8146 0.9175
```

## Properties
**Offset from the most stable computed form**: 4.3 kJ per mole of atoms
**Space group**: P1
**DOS at the Fermi energy**: 4.8 states/eV/f.u.
**Volume**: 137.0 Å³/f.u.
**ρ**: 7.6 g cm⁻³